Record 1
Ti2NiHPt: relaxed, PBE.

Lattice parameters (Å, degrees): 3.954 3.954 3.891 90.00 90.00 90.00
Sites, in units of the cell vectors:
Ni  0.500  0.500  0.500
H  0.000  0.000  0.000
Pt  0.000  0.000  0.500
Ti  0.000  0.500  0.000
Ti  0.500  0.000  0.000

Calculated values
Energy above the most stable polymorph in this dataset = 11.60 kJ/mol of atoms
Volume = 12.2 Å³ per atom
Size of the total moment = 0.500 μB/f.u.
Raw total energy = -6.662 eV per atom
Space group = No. 123
Density = 9.6 g/cm3

---

Record 2
Mg2SnPt9: relaxed, PBE.

Lattice parameters (Å, degrees): 3.988 3.988 12.017 90.00 90.00 90.00
Sites, in units of the cell vectors:
Mg  0.000  0.000  0.337
Mg  0.000  0.000  0.663
Sn  0.000  0.000  0.000
Pt  0.500  0.500  0.000
Pt  0.500  0.500  0.337
Pt  0.500  0.500  0.663
Pt  0.500  0.000  0.174
Pt  0.500  0.000  0.500
Pt  0.500  0.000  0.826
Pt  0.000  0.500  0.174
Pt  0.000  0.500  0.500
Pt  0.000  0.500  0.826

Calculated values
Volume = 15.9 Å³ per atom
Size of the total moment = 0.000 μB/f.u.
Formation enthalpy at 0 K = -619 kJ/mol of formula units
Raw total energy = -5.665 eV per atom
Space group = No. 123
Density = 16.7 g/cm3